Record 1
A relaxed structure of Ca2NiW, computed with PBE.

Values from the calculation:
Final energy: -5.0620 eV/atom
Energy relative to the lowest polymorph listed for this composition: 232.3 meV/atom
N(E_F): 0.85 states/eV/atom
E_form: 0.62 eV/atom
Volume: 20.0 Å³/atom

CIF file:
```
data_Ca2NiW
_chemical_formula_sum 'Ca4 Ni2 W2'
_cell_length_a 4.2054
_cell_length_b 4.2259
_cell_length_c 9.0032
_cell_angle_alpha 90.00
_cell_angle_beta 90.00
_cell_angle_gamma 90.00
_space_group_name_H-M_alt 'C m m m'
_space_group_IT_number 65
_space_group_name_Hall '-C 2 2'
loop_
_atom_site_label
_atom_site_type_symbol
_atom_site_fract_x
_atom_site_fract_y
_atom_site_fract_z
_atom_site_occupancy
Ca1 Ca 0.0000 0.0000 0.2237 1
Ni1 Ni 0.0000 0.5000 0.0000 1
W1 W 0.0000 0.5000 0.5000 1
```

---

Record 2
A relaxed structure of TiZnPt4, computed with PBE.

Values from the calculation:
Final energy: -6.0447 eV/atom
N(E_F): 0.39 states/eV/atom
E_form: -0.49 eV/atom
Volume: 17.3 Å³/atom

CIF file:
```
data_TiZnPt4
_chemical_formula_sum 'Ti2 Zn2 Pt8'
_cell_length_a 8.1117
_cell_length_b 3.6058
_cell_length_c 7.9765
_cell_angle_alpha 90.00
_cell_angle_beta 116.96
_cell_angle_gamma 90.00
_space_group_name_H-M_alt 'C 1 2/m 1'
_space_group_IT_number 12
loop_
_space_group_symop_operation_xyz
'x,y,z'
'-x,-y,-z'
'-x,y,-z'
'x,-y,z'
'x+1/2,y+1/2,z'
'-x+1/2,-y+1/2,-z'
'-x+1/2,y+1/2,-z'
'x+1/2,-y+1/2,z'
loop_
_atom_site_label
_atom_site_type_symbol
_atom_site_fract_x
_atom_site_fract_y
_atom_site_fract_z
_atom_site_occupancy
Ti1 Ti 0.0000 0.0000 0.0000 1
Zn1 Zn 0.0000 0.5000 0.5000 1
Pt1 Pt 0.1332 0.5000 0.8648 1
Pt2 Pt 0.1369 0.0000 0.3657 1
```

---

Record 3
A relaxed structure of Tb2TcNi, computed with PBE.

Values from the calculation:
Final energy: -6.4765 eV/atom
N(E_F): 1.16 states/eV/atom
E_form: -0.12 eV/atom
Volume: 20.0 Å³/atom

CIF file:
```
data_Tb2TcNi
_chemical_formula_sum 'Tb2 Tc1 Ni1'
_cell_length_a 3.4506
_cell_length_b 3.4506
_cell_length_c 6.7112
_cell_angle_alpha 90.00
_cell_angle_beta 90.00
_cell_angle_gamma 90.00
_space_group_name_H-M_alt 'P 4/m m m'
_space_group_IT_number 123
_space_group_name_Hall '-P 4 2'
loop_
_atom_site_label
_atom_site_type_symbol
_atom_site_fract_x
_atom_site_fract_y
_atom_site_fract_z
_atom_site_occupancy
Tb1 Tb 0.0000 0.0000 0.2495 1
Tc1 Tc 0.5000 0.5000 0.5000 1
Ni1 Ni 0.5000 0.5000 0.0000 1
```

---

Record 4
A relaxed structure of LaHOs3, computed with PBE.

Values from the calculation:
Final energy: -4.9047 eV/atom
Energy relative to the lowest polymorph listed for this composition: 2893.9 meV/atom
N(E_F): 1.02 states/eV/atom
Volume: 24.6 Å³/atom

CIF file:
```
data_LaHOs3
_chemical_formula_sum 'La1 H1 Os3'
_cell_length_a 4.9728
_cell_length_b 4.9728
_cell_length_c 4.9728
_cell_angle_alpha 90.00
_cell_angle_beta 90.00
_cell_angle_gamma 90.00
_space_group_name_H-M_alt 'P m -3 m'
_space_group_IT_number 221
_space_group_name_Hall '-P 4 2 3'
loop_
_atom_site_label
_atom_site_type_symbol
_atom_site_fract_x
_atom_site_fract_y
_atom_site_fract_z
_atom_site_occupancy
La1 La 0.0000 0.0000 0.0000 1
H1 H 0.5000 0.5000 0.5000 1
Os1 Os 0.0000 0.0000 0.5000 1
```

---

Record 5
A relaxed structure of Sr2MgH8O6, computed with PBE.

Values from the calculation:
Final energy: -5.0236 eV/atom
Energy relative to the lowest polymorph listed for this composition: 0.0 meV/atom
N(E_F): 0.05 states/eV/atom
Volume: 12.5 Å³/atom

CIF file:
```
data_Sr2MgH8O6
_chemical_formula_sum 'Sr2 Mg1 H8 O6'
_cell_length_a 3.6799
_cell_length_b 6.3067
_cell_length_c 9.3040
_cell_angle_alpha 93.90
_cell_angle_beta 96.66
_cell_angle_gamma 94.25
_space_group_name_H-M_alt 'P 1'
_space_group_IT_number 1
loop_
_space_group_symop_operation_xyz
'x,y,z'
loop_
_atom_site_label
_atom_site_type_symbol
_atom_site_fract_x
_atom_site_fract_y
_atom_site_fract_z
_atom_site_occupancy
Sr1 Sr 0.0000 0.0000 0.0000 1
Sr2 Sr 0.1098 0.3359 0.3383 1
Mg1 Mg 0.4007 0.0181 0.6194 1
H1 H 0.0566 0.6370 0.6000 1
H2 H 0.2277 0.5347 0.0341 1
H3 H 0.4341 0.6595 0.8654 1
H4 H 0.4744 0.6243 0.5827 1
H5 H 0.4884 0.2747 0.8365 1
H6 H 0.5530 0.0044 0.2801 1
H7 H 0.7118 0.7242 0.4270 1
H8 H 0.8008 0.5162 0.0373 1
O1 O 0.0222 0.4417 0.0746 1
O2 O 0.3042 0.6835 0.6543 1
O3 O 0.4624 0.1192 0.8321 1
O4 O 0.4927 0.6914 0.9708 1
O5 O 0.5504 0.1039 0.2026 1
O6 O 0.6899 0.5732 0.4503 1
```

---

Record 6
A relaxed structure of P2PtO6F2, computed with PBE.

Values from the calculation:
Final energy: -6.3548 eV/atom
ΔE_f (raw): -1777 meV/atom
N(E_F): 0.00 states/eV/atom
Volume: 13.9 Å³/atom

CIF file:
```
data_P2PtO6F2
_chemical_formula_sum 'P2 Pt1 O6 F2'
_cell_length_a 4.9038
_cell_length_b 4.9038
_cell_length_c 7.3603
_cell_angle_alpha 90.00
_cell_angle_beta 90.00
_cell_angle_gamma 120.00
_space_group_name_H-M_alt 'P -3'
_space_group_IT_number 147
loop_
_space_group_symop_operation_xyz
'x,y,z'
'-x,-y,-z'
'-y,x-y,z'
'y,-x+y,-z'
'-x+y,-x,z'
'x-y,x,-z'
loop_
_atom_site_label
_atom_site_type_symbol
_atom_site_fract_x
_atom_site_fract_y
_atom_site_fract_z
_atom_site_occupancy
P1 P 0.3333 0.6667 0.2856 1
Pt1 Pt 0.0000 0.0000 0.5000 1
O1 O 0.0440 0.6940 0.3366 1
F1 F 0.3333 0.6667 0.0735 1
```

---

Record 7
A relaxed structure of K3Np2TeSe6, computed with PBE.

Values from the calculation:
Final energy: -5.3864 eV/atom
ΔE_f (raw): -951 meV/atom
N(E_F): 1.41 states/eV/atom
Volume: 31.3 Å³/atom

CIF file:
```
data_K3Np2TeSe6
_chemical_formula_sum 'K6 Np4 Te2 Se12'
_cell_length_a 7.4212
_cell_length_b 13.4621
_cell_length_c 7.8382
_cell_angle_alpha 90.00
_cell_angle_beta 106.22
_cell_angle_gamma 90.00
_space_group_name_H-M_alt 'C 1 2/m 1'
_space_group_IT_number 12
loop_
_space_group_symop_operation_xyz
'x,y,z'
'-x,-y,-z'
'-x,y,-z'
'x,-y,z'
'x+1/2,y+1/2,z'
'-x+1/2,-y+1/2,-z'
'-x+1/2,y+1/2,-z'
'x+1/2,-y+1/2,z'
loop_
_atom_site_label
_atom_site_type_symbol
_atom_site_fract_x
_atom_site_fract_y
_atom_site_fract_z
_atom_site_occupancy
K1 K 0.0000 0.0000 0.0000 1
K2 K 0.0000 0.3511 0.0000 1
Np1 Np 0.0000 0.1709 0.5000 1
Te1 Te 0.0000 0.5000 0.5000 1
Se1 Se 0.2203 0.0000 0.6883 1
Se2 Se 0.2407 0.1930 0.2809 1
```

---

Record 8
A relaxed structure of NiAs2Ru, computed with PBE.

Values from the calculation:
Final energy: -6.0153 eV/atom
Energy relative to the lowest polymorph listed for this composition: 193.4 meV/atom
N(E_F): 0.88 states/eV/atom
E_form: 0.07 eV/atom
Volume: 14.4 Å³/atom

CIF file:
```
data_NiAs2Ru
_chemical_formula_sum 'Ni4 As8 Ru4'
_cell_length_a 6.1250
_cell_length_b 6.1250
_cell_length_c 6.1250
_cell_angle_alpha 90.00
_cell_angle_beta 90.00
_cell_angle_gamma 90.00
_space_group_name_H-M_alt 'F m -3 m'
_space_group_IT_number 225
_space_group_name_Hall '-F 4 2 3'
loop_
_atom_site_label
_atom_site_type_symbol
_atom_site_fract_x
_atom_site_fract_y
_atom_site_fract_z
_atom_site_occupancy
Ni1 Ni 0.0000 0.0000 0.0000 1
As1 As 0.2500 0.2500 0.2500 1
Ru1 Ru 0.0000 0.0000 0.5000 1
```

---

Record 9
A relaxed structure of SrLiIr2Pb, computed with PBE.

Values from the calculation:
Final energy: -4.4134 eV/atom
N(E_F): 0.73 states/eV/atom
E_form: 0.59 eV/atom
Volume: 24.4 Å³/atom

CIF file:
```
data_SrLiIr2Pb
_chemical_formula_sum 'Sr1 Li1 Ir2 Pb1'
_cell_length_a 5.1113
_cell_length_b 5.1113
_cell_length_c 4.6635
_cell_angle_alpha 90.00
_cell_angle_beta 90.00
_cell_angle_gamma 90.00
_space_group_name_H-M_alt 'P 4/m m m'
_space_group_IT_number 123
_space_group_name_Hall '-P 4 2'
loop_
_atom_site_label
_atom_site_type_symbol
_atom_site_fract_x
_atom_site_fract_y
_atom_site_fract_z
_atom_site_occupancy
Sr1 Sr 0.0000 0.0000 0.0000 1
Li1 Li 0.5000 0.5000 0.0000 1
Ir1 Ir 0.0000 0.5000 0.5000 1
Pb1 Pb 0.5000 0.5000 0.5000 1
```

---

Record 10
A relaxed structure of Y2Ge2Bi, computed with PBE.

Values from the calculation:
Final energy: -5.6255 eV/atom
Energy relative to the lowest polymorph listed for this composition: 259.3 meV/atom
N(E_F): 0.87 states/eV/atom
E_form: -0.42 eV/atom
Volume: 25.5 Å³/atom

CIF file:
```
data_Y2Ge2Bi
_chemical_formula_sum 'Y4 Ge4 Bi2'
_cell_length_a 8.3292
_cell_length_b 8.3292
_cell_length_c 3.6748
_cell_angle_alpha 90.00
_cell_angle_beta 90.00
_cell_angle_gamma 90.00
_space_group_name_H-M_alt 'P 4/m b m'
_space_group_IT_number 127
_space_group_name_Hall '-P 4 2ab'
loop_
_atom_site_label
_atom_site_type_symbol
_atom_site_fract_x
_atom_site_fract_y
_atom_site_fract_z
_atom_site_occupancy
Y1 Y 0.1432 0.3568 0.0000 1
Ge1 Ge 0.1644 0.6644 0.5000 1
Bi1 Bi 0.0000 0.0000 0.0000 1
```

---

Record 11
A relaxed structure of LaCoSn2, computed with PBE.

Values from the calculation:
Final energy: -5.0210 eV/atom
N(E_F): 0.30 states/eV/atom
E_form: -0.01 eV/atom
Volume: 23.1 Å³/atom

CIF file:
```
data_LaCoSn2
_chemical_formula_sum 'La4 Co4 Sn8'
_cell_length_a 7.1775
_cell_length_b 7.1775
_cell_length_c 7.1775
_cell_angle_alpha 90.00
_cell_angle_beta 90.00
_cell_angle_gamma 90.00
_space_group_name_H-M_alt 'F m -3 m'
_space_group_IT_number 225
_space_group_name_Hall '-F 4 2 3'
loop_
_atom_site_label
_atom_site_type_symbol
_atom_site_fract_x
_atom_site_fract_y
_atom_site_fract_z
_atom_site_occupancy
La1 La 0.0000 0.0000 0.0000 1
Co1 Co 0.0000 0.0000 0.5000 1
Sn1 Sn 0.2500 0.2500 0.2500 1
```

---

Record 12
A relaxed structure of TaSe5, computed with PBE.

Values from the calculation:
Final energy: -5.1896 eV/atom
ΔE_f (raw): -310 meV/atom
N(E_F): 0.31 states/eV/atom
Volume: 27.8 Å³/atom

CIF file:
```
data_TaSe5
_chemical_formula_sum 'Ta2 Se10'
_cell_length_a 14.9424
_cell_length_b 3.4819
_cell_length_c 7.3059
_cell_angle_alpha 90.00
_cell_angle_beta 118.55
_cell_angle_gamma 90.00
_space_group_name_H-M_alt 'C 1 m 1'
_space_group_IT_number 8
loop_
_space_group_symop_operation_xyz
'x,y,z'
'x,-y,z'
'x+1/2,y+1/2,z'
'x+1/2,-y+1/2,z'
loop_
_atom_site_label
_atom_site_type_symbol
_atom_site_fract_x
_atom_site_fract_y
_atom_site_fract_z
_atom_site_occupancy
Ta1 Ta 0.0000 0.0000 0.0000 1
Se1 Se 0.0965 0.5000 0.6606 1
Se2 Se 0.1187 0.0000 0.4153 1
Se3 Se 0.1547 0.5000 0.1543 1
Se4 Se 0.3793 0.0000 0.0274 1
Se5 Se 0.4382 0.0000 0.6899 1
```

---

Q: Among the records above, which one has the lowest volume?
A: Sr2MgH8O6

---

Q: The highest final energy belongs to which entry?
A: SrLiIr2Pb

---

Q: Look up the volume of the fifth one.
A: 12.5 Å³/atom